[1]
This record from the Alexandria database describes a geometry-optimized ScInPtRh structure. The functional is PBE.

a b c (Å): 4.7715 4.7715 4.7715
angles (deg): 125.95 125.95 79.98
Closest atoms and distances in Å follow each position.
Positions (direct):
Sc 0.0000 0.0000 0.0000  4 Rh 2.84, 4 Pt 2.84, 4 In 3.07
In 0.5000 0.5000 0.0000  4 Rh 2.84, 4 Pt 2.84, 4 Sc 3.07
Pt 0.7500 0.2500 0.5000  4 In 2.84, 4 Sc 2.84, 4 Rh 3.07
Rh 0.2500 0.7500 0.5000  4 In 2.84, 4 Sc 2.84, 4 Pt 3.07

- Energy of formation from the pure elements: -883.8 meV/atom

***

[2]
This record from the Alexandria database describes a geometry-optimized Pm8Sm3Mg2 structure. The functional is PBE.

a b c (Å): 6.4201 7.3806 9.6699
angles (deg): 90.79 91.11 109.32
Closest atoms and distances in Å follow each position.
Positions (direct):
Pm 0.0386 0.3763 0.3524  1 Mg 3.49, 7 Pm 3.50-3.88, 4 Sm 3.56-3.67
Pm 0.0424 0.8715 0.3234  1 Mg 3.25, 2 Pm 3.49-3.61, 1 Sm 3.62
Pm 0.4028 0.9724 0.8226  2 Mg 3.28-3.35, 3 Pm 3.52-3.65, 2 Sm 3.67
Pm 0.4369 0.4751 0.8086  2 Mg 3.25-3.48, 3 Sm 3.44-3.62, 2 Pm 3.49-3.57
Pm 0.5631 0.5249 0.1914  2 Mg 3.25-3.48, 3 Sm 3.44-3.62, 2 Pm 3.49-3.57
Pm 0.5972 0.0276 0.1774  2 Mg 3.28-3.35, 3 Pm 3.52-3.65, 2 Sm 3.67
Pm 0.9576 0.1285 0.6766  1 Mg 3.25, 2 Pm 3.49-3.61, 1 Sm 3.62
Pm 0.9614 0.6237 0.6476  1 Mg 3.49, 7 Pm 3.50-3.88, 4 Sm 3.56-3.67
Sm 0.0000 0.5000 0.0000  2 Mg 3.14, 2 Pm 3.44
Sm 0.4883 0.2427 0.5008  10 Pm 3.49-3.77, 2 Sm 3.64-3.75
Sm 0.5117 0.7573 0.4992  10 Pm 3.49-3.77, 2 Sm 3.64-3.75
Mg 0.1720 0.1561 0.0617  1 Mg 2.84, 1 Sm 3.14
Mg 0.8280 0.8439 0.9383  1 Mg 2.84, 1 Sm 3.14

- Energy of formation from the pure elements: 70.9 meV/atom

***

[3]
This record from the Alexandria database describes a geometry-optimized YSc2Ga2 structure. The functional is PBE.

a b c (Å): 5.1450 3.8403 11.8249
angles (deg): 90.00 96.39 90.00
Closest atoms and distances in Å follow each position.
Positions (direct):
Y 0.1792 0.2500 0.2338  3 Ga 3.06-3.39, 2 Sc 3.42
Y 0.8208 0.7500 0.7662  3 Ga 3.06-3.39, 2 Sc 3.42
Sc 0.2425 0.7500 0.4743  4 Ga 2.88-3.01
Sc 0.3477 0.2500 0.8944  5 Ga 2.65-2.78
Sc 0.6523 0.7500 0.1056  5 Ga 2.65-2.78
Sc 0.7575 0.2500 0.5257  4 Ga 2.88-3.01
Ga 0.1475 0.7500 0.0316  2 Ga 2.51, 4 Sc 2.65-2.78
Ga 0.2898 0.2500 0.6574  5 Sc 2.78-3.01
Ga 0.7102 0.7500 0.3426  5 Sc 2.78-3.01
Ga 0.8525 0.2500 0.9684  2 Ga 2.51, 4 Sc 2.65-2.78

- Distance to the lowest polymorph of the same formula: 0.095 eV per atom
- Energy of formation from the pure elements: -401.6 meV/atom

***

[4]
This record from the Alexandria database describes a geometry-optimized Rb3Mn5I12 structure. The functional is PBE.

a b c (Å): 16.2121 16.2121 16.2121
angles (deg): 109.47 109.47 109.47
Closest atoms and distances in Å follow each position.
Positions (direct):
Rb 0.1250 0.2500 0.3750  8 I 3.72-3.82
Rb 0.1250 0.3750 0.7500  8 I 3.72-3.82
Rb 0.2500 0.3750 0.1250  8 I 3.72-3.82
Rb 0.2500 0.8750 0.6250  8 I 3.72-3.82
Rb 0.3750 0.1250 0.2500  8 I 3.72-3.82
Rb 0.3750 0.7500 0.1250  8 I 3.72-3.82
Rb 0.6250 0.2500 0.8750  8 I 3.72-3.82
Rb 0.6250 0.8750 0.7500  8 I 3.72-3.82
Rb 0.7500 0.1250 0.3750  8 I 3.72-3.82
Rb 0.7500 0.6250 0.8750  8 I 3.72-3.82
Rb 0.8750 0.6250 0.2500  8 I 3.72-3.82
Rb 0.8750 0.7500 0.6250  8 I 3.72-3.82
Mn 0.0000 0.0000 0.0000  6 I 2.96
Mn 0.0000 0.0000 0.5000  6 I 2.96
Mn 0.0000 0.5000 0.0000  6 I 2.96
Mn 0.0000 0.5000 0.5000  6 I 2.96
Mn 0.1250 0.7500 0.8750  4 I 2.74
Mn 0.1250 0.8750 0.2500  4 I 2.74
Mn 0.2500 0.1250 0.8750  4 I 2.74
Mn 0.2500 0.6250 0.3750  4 I 2.74
Mn 0.3750 0.2500 0.6250  4 I 2.74
Mn 0.3750 0.6250 0.7500  4 I 2.74
Mn 0.5000 0.0000 0.0000  6 I 2.96
Mn 0.5000 0.0000 0.5000  6 I 2.96
Mn 0.5000 0.5000 0.0000  6 I 2.96
Mn 0.5000 0.5000 0.5000  6 I 2.96
Mn 0.6250 0.3750 0.2500  4 I 2.74
Mn 0.6250 0.7500 0.3750  4 I 2.74
Mn 0.7500 0.3750 0.6250  4 I 2.74
Mn 0.7500 0.8750 0.1250  4 I 2.74
Mn 0.8750 0.1250 0.7500  4 I 2.74
Mn 0.8750 0.2500 0.1250  4 I 2.74
I 0.0142 0.1957 0.1094  2 Mn 2.74-2.96
I 0.0142 0.3184 0.9047  2 Mn 2.74-2.96
I 0.0863 0.6957 0.6816  2 Mn 2.74-2.96
I 0.0863 0.8906 0.4047  2 Mn 2.74-2.96
I 0.0953 0.6094 0.4137  2 Mn 2.74-2.96
I 0.0953 0.9858 0.6816  2 Mn 2.74-2.96
I 0.1094 0.0142 0.1957  2 Mn 2.74-2.96
I 0.1094 0.5953 0.9137  2 Mn 2.74-2.96
I 0.1816 0.1957 0.5863  2 Mn 2.74-2.96
I 0.1816 0.4858 0.5953  2 Mn 2.74-2.96
I 0.1957 0.1094 0.0142  2 Mn 2.74-2.96
I 0.1957 0.5863 0.1816  2 Mn 2.74-2.96
I 0.3043 0.3184 0.9137  2 Mn 2.74-2.96
I 0.3043 0.4858 0.3906  2 Mn 2.74-2.96
I 0.3184 0.9047 0.0142  2 Mn 2.74-2.96
I 0.3184 0.9137 0.3043  2 Mn 2.74-2.96
I 0.3906 0.3043 0.4858  2 Mn 2.74-2.96
I 0.3906 0.5863 0.9047  2 Mn 2.74-2.96
I 0.4047 0.0863 0.8906  2 Mn 2.74-2.96
I 0.4047 0.8184 0.5142  2 Mn 2.74-2.96
I 0.4137 0.0953 0.6094  2 Mn 2.74-2.96
I 0.4137 0.8184 0.8043  2 Mn 2.74-2.96
I 0.4858 0.3906 0.3043  2 Mn 2.74-2.96
I 0.4858 0.5953 0.1816  2 Mn 2.74-2.96
I 0.5142 0.4047 0.8184  2 Mn 2.74-2.96
I 0.5142 0.6094 0.6957  2 Mn 2.74-2.96
I 0.5863 0.1816 0.1957  2 Mn 2.74-2.96
I 0.5863 0.9047 0.3906  2 Mn 2.74-2.96
I 0.5953 0.1816 0.4858  2 Mn 2.74-2.96
I 0.5953 0.9137 0.1094  2 Mn 2.74-2.96
I 0.6094 0.4137 0.0953  2 Mn 2.74-2.96
I 0.6094 0.6957 0.5142  2 Mn 2.74-2.96
I 0.6816 0.0863 0.6957  2 Mn 2.74-2.96
I 0.6816 0.0953 0.9858  2 Mn 2.74-2.96
I 0.6957 0.5142 0.6094  2 Mn 2.74-2.96
I 0.6957 0.6816 0.0863  2 Mn 2.74-2.96
I 0.8043 0.4137 0.8184  2 Mn 2.74-2.96
I 0.8043 0.8906 0.9858  2 Mn 2.74-2.96
I 0.8184 0.5142 0.4047  2 Mn 2.74-2.96
I 0.8184 0.8043 0.4137  2 Mn 2.74-2.96
I 0.8906 0.4047 0.0863  2 Mn 2.74-2.96
I 0.8906 0.9858 0.8043  2 Mn 2.74-2.96
I 0.9047 0.0142 0.3184  2 Mn 2.74-2.96
I 0.9047 0.3906 0.5863  2 Mn 2.74-2.96
I 0.9137 0.1094 0.5953  2 Mn 2.74-2.96
I 0.9137 0.3043 0.3184  2 Mn 2.74-2.96
I 0.9858 0.6816 0.0953  2 Mn 2.74-2.96
I 0.9858 0.8043 0.8906  2 Mn 2.74-2.96

- Electronic total energy: -4.0370 eV per atom

***

[5]
This record from the Alexandria database describes a geometry-optimized Pr6SmAg structure. The functional is PBE.

a b c (Å): 6.5207 6.5207 6.5207
angles (deg): 96.13 96.13 96.13
Closest atoms and distances in Å follow each position.
Positions (direct):
Pr 0.0489 0.7634 0.5683  1 Ag 3.13, 2 Pr 3.41-3.43
Pr 0.2366 0.4317 0.9511  1 Ag 3.13, 2 Pr 3.41-3.43
Pr 0.4317 0.9511 0.2366  1 Ag 3.13, 2 Pr 3.41-3.43
Pr 0.5683 0.0489 0.7634  1 Ag 3.13, 2 Pr 3.41-3.43
Pr 0.7634 0.5683 0.0489  1 Ag 3.13, 2 Pr 3.41-3.43
Pr 0.9511 0.2366 0.4317  1 Ag 3.13, 2 Pr 3.41-3.43
Sm 0.5000 0.5000 0.5000  12 Pr 3.60-3.76
Ag 0.0000 0.0000 0.0000  6 Pr 3.13

- Energy of formation from the pure elements: 29.9 meV/atom

***

[6]
This record from the Alexandria database describes a geometry-optimized BeZn2Cd structure. The functional is PBE.

a b c (Å): 4.4463 4.4463 4.4463
angles (deg): 60.00 60.00 60.00
Closest atoms and distances in Å follow each position.
Positions (direct):
Be 0.0000 0.0000 0.0000  8 Zn 2.72
Zn 0.2500 0.2500 0.2500  4 Cd 2.72, 4 Be 2.72
Zn 0.7500 0.7500 0.7500  4 Cd 2.72, 4 Be 2.72
Cd 0.5000 0.5000 0.5000  8 Zn 2.72

- Distance to the lowest polymorph of the same formula: 0.222 eV per atom
- Energy of formation from the pure elements: 373.3 meV/atom

***

[7]
This record from the Alexandria database describes a geometry-optimized KBaMo2 structure. The functional is PBE.

a b c (Å): 4.6656 4.6656 7.6655
angles (deg): 90.00 90.00 90.00
Closest atoms and distances in Å follow each position.
Positions (direct):
K 0.0000 0.0000 0.0000  2 Ba 3.83
Ba 0.0000 0.0000 0.5000  8 Mo 3.46, 2 K 3.83
Mo 0.5000 0.5000 0.3658  1 Mo 2.06
Mo 0.5000 0.5000 0.6342  1 Mo 2.06

- Distance to the lowest polymorph of the same formula: 0.602 eV per atom
- Energy of formation from the pure elements: 1375.5 meV/atom

***

[8]
This record from the Alexandria database describes a geometry-optimized Tb4PrNd2Dy structure. The functional is PBE.

a b c (Å): 9.5659 9.5659 6.8589
angles (deg): 111.00 111.00 88.19
Closest atoms and distances in Å follow each position.
Positions (direct):
Tb 0.2452 0.7548 0.9998  1 Dy 3.26, 3 Nd 3.39-3.44, 2 Tb 3.43, 2 Pr 3.44
Tb 0.2452 0.7548 0.5002  1 Dy 3.26, 3 Nd 3.39-3.44, 2 Tb 3.43, 2 Pr 3.44
Tb 0.2458 0.2461 0.4948  3 Nd 3.33-3.48, 1 Pr 3.33, 2 Dy 3.39-3.40, 2 Tb 3.43
Tb 0.2461 0.2458 0.9948  3 Nd 3.33-3.48, 1 Pr 3.33, 2 Dy 3.39-3.40, 2 Tb 3.43
Tb 0.7539 0.7542 0.0052  3 Nd 3.33-3.48, 1 Pr 3.33, 2 Dy 3.39-3.40, 2 Tb 3.43
Tb 0.7542 0.7539 0.5052  3 Nd 3.33-3.48, 1 Pr 3.33, 2 Dy 3.39-3.40, 2 Tb 3.43
Tb 0.7548 0.2452 0.0002  1 Dy 3.26, 3 Nd 3.39-3.44, 2 Tb 3.43, 2 Pr 3.44
Tb 0.7548 0.2452 0.4998  1 Dy 3.26, 3 Nd 3.39-3.44, 2 Tb 3.43, 2 Pr 3.44
Pr 0.0000 0.5000 0.0000  6 Tb 3.33-3.44, 2 Nd 3.43
Pr 0.5000 0.0000 0.5000  6 Tb 3.33-3.44, 2 Nd 3.43
Nd 0.0000 0.5000 0.5000  6 Tb 3.33-3.44, 2 Pr 3.43
Nd 0.5000 0.0000 0.0000  6 Tb 3.33-3.44, 2 Pr 3.43
Nd 0.5000 0.5000 0.0000  6 Tb 3.39-3.48, 2 Nd 3.43
Nd 0.5000 0.5000 0.5000  6 Tb 3.39-3.48, 2 Nd 3.43
Dy 0.0000 0.0000 0.0000  6 Tb 3.26-3.40, 2 Dy 3.43
Dy 0.0000 0.0000 0.5000  6 Tb 3.26-3.40, 2 Dy 3.43

- Energy of formation from the pure elements: 403.3 meV/atom

***

[9]
This record from the Alexandria database describes a geometry-optimized PrYMgAu structure. The functional is PBE.

a b c (Å): 5.3069 5.3069 5.3069
angles (deg): 60.00 60.00 60.00
Closest atoms and distances in Å follow each position.
Positions (direct):
Pr 0.0000 0.0000 0.0000  4 Au 3.25, 4 Mg 3.25
Y 0.5000 0.5000 0.5000  4 Au 3.25, 4 Mg 3.25
Mg 0.2500 0.2500 0.2500  4 Pr 3.25, 4 Y 3.25
Au 0.7500 0.7500 0.7500  4 Pr 3.25, 4 Y 3.25

- Distance to the lowest polymorph of the same formula: 0.069 eV per atom
- Energy of formation from the pure elements: -383.4 meV/atom

***

[10]
This record from the Alexandria database describes a geometry-optimized AgTeI2N structure. The functional is PBE.

a b c (Å): 5.5263 5.5263 5.5420
angles (deg): 90.00 90.00 90.00
Closest atoms and distances in Å follow each position.
Positions (direct):
Ag 0.0000 0.0000 0.0000  4 I 2.76, 2 Te 2.77
Te 0.0000 0.0000 0.5000  2 Ag 2.77
I 0.0000 0.5000 0.0000  2 Ag 2.76
I 0.5000 0.0000 0.0000  2 Ag 2.76
N 0.5000 0.5000 0.5000  4 Te 3.91, 8 I 3.91

- Distance to the lowest polymorph of the same formula: 1.003 eV per atom

***

[11]
This record from the Alexandria database describes a geometry-optimized La2Sc structure. The functional is PBE.

a b c (Å): 6.7797 6.7797 8.5332
angles (deg): 104.27 104.27 31.02
Closest atoms and distances in Å follow each position.
Positions (direct):
La 0.0000 0.0000 0.0000  5 Sc 3.48-3.54, 7 La 3.61-3.64
La 0.0461 0.0461 0.5969  8 La 3.44-3.70, 4 Sc 3.62-3.80
La 0.3178 0.3178 0.6785  9 La 3.44-3.70, 2 Sc 3.46
La 0.6747 0.6747 0.3265  4 Sc 3.37-3.70, 8 La 3.60-3.66
Sc 0.3831 0.3831 0.2562  4 Sc 3.38-3.63, 7 La 3.45-3.70
Sc 0.7231 0.7231 0.9573  6 La 3.37-3.54, 4 Sc 3.38-3.63

- Distance to the lowest polymorph of the same formula: 0.032 eV per atom
- Energy of formation from the pure elements: 83.7 meV/atom

***

[12]
This record from the Alexandria database describes a geometry-optimized LiMnAs2Se structure. The functional is PBE.

a b c (Å): 4.6178 4.6178 5.1496
angles (deg): 90.00 90.00 90.00
Closest atoms and distances in Å follow each position.
Positions (direct):
Li 0.0000 0.0000 0.0000  4 Se 3.27, 8 As 3.46
Mn 0.5000 0.5000 0.5000  4 As 2.31, 2 Se 2.57
As 0.0000 0.5000 0.5000  2 Mn 2.31
As 0.5000 0.0000 0.5000  2 Mn 2.31
Se 0.5000 0.5000 0.0000  2 Mn 2.57

- Distance to the lowest polymorph of the same formula: 0.000 eV per atom

***

| no. | magnetization (μB per cell) |
| --- | --- |
| 1 | 0.00 |
| 2 | 0.00 |
| 3 | 1.82 |
| 4 | 95.99 |
| 5 | 0.00 |
| 6 | 0.00 |
| 7 | 0.94 |
| 8 | 1.73 |
| 9 | 0.00 |
| 10 | 0.00 |
| 11 | 0.00 |
| 12 | 2.16 |